Computed, not measured: a geometry-optimized Hg2N2F structure at the PBE level of DFT.

a b c (Å): 2.905 3.450 13.020
angles (deg): 95.73 91.88 110.40
Atoms (fractional coordinates):
Hg: 0.244 0.019 0.356
Hg: 0.756 0.981 0.644
N: 0.003 0.017 0.958
N: 0.997 0.983 0.042
F: 0.000 0.500 0.500

Output
- ΔE_f (raw): -33.1 kJ/mol of atoms
- SG: P-1, No. 2
- Volume: 121.4 Å³/cell
- Crystal system: triclinic
- Theoretical density: 6.13 g cm⁻³